Here is a geometry-optimized Ac2TiMnO6 structure from the Alexandria database. Energies are from PBE with a Hubbard U.

Lattice parameters (Å, degrees): 5.639 5.639 4.018 90.00 90.00 90.00
Fractional coordinates of all 10 atoms:
Ac1 0.000 0.500 0.000
Ac2 0.500 0.000 0.000
Ti1 0.000 0.000 0.500
Mn1 0.500 0.500 0.500
O1 0.000 0.000 0.000
O2 0.247 0.247 0.500
O3 0.247 0.753 0.500
O4 0.500 0.500 0.000
O5 0.753 0.247 0.500
O6 0.753 0.753 0.500

## Properties
As for the total energy: -8.12 eV/atom.